Here is a geometry-optimized CdSbIr2 structure from Alexandria. Energies are from PBE.

Cell lengths 4.622, 4.622, 4.622 Å; angles 60.00, 60.00, 60.00 degrees
Positions (direct):
Cd (0.000, 0.000, 0.000)
Sb (0.500, 0.500, 0.500)
Ir (0.250, 0.250, 0.250)
Ir (0.750, 0.750, 0.750)

Properties
Space-group type = Fm-3m
Formation energy (no corrections) = 0.2161 eV per atom
Energy relative to the lowest polymorph listed for this composition = 56 meV per atom
Total energy = -5.4737 eV per atom